First-principles (GGA-PBE) data for a relaxed Li2Ti3Te6 crystal, as listed in Alexandria.

Geometry as CIF:
```
data_Li2Ti3Te6
_chemical_formula_sum 'Li4 Ti6 Te12'
_cell_length_a 6.698
_cell_length_b 11.601
_cell_length_c 7.546
_cell_angle_alpha 90.00
_cell_angle_beta 107.22
_cell_angle_gamma 90.00
_symmetry_space_group_name_H-M 'C 1 2/m 1'
_symmetry_Int_Tables_number 12
loop_
_symmetry_equiv_pos_as_xyz
'x,y,z'
'-x,-y,-z'
'-x,y,-z'
'x,-y,z'
'x+1/2,y+1/2,z'
'-x+1/2,-y+1/2,-z'
'-x+1/2,y+1/2,-z'
'x+1/2,-y+1/2,z'
loop_
_atom_site_label
_atom_site_type_symbol
_atom_site_fract_x
_atom_site_fract_y
_atom_site_fract_z
_atom_site_occupancy
Li1 Li 0.000 0.167 0.000 1
Ti1 Ti 0.000 0.000 0.500 1
Ti2 Ti 0.000 0.333 0.500 1
Te1 Te 0.244 0.500 0.736 1
Te2 Te 0.246 0.166 0.736 1
```

Results
The uncorrected formation energy comes out at -0.772 eV per atom.